# 1
Here is Y3Zn6Au5 after structural relaxation from the Alexandria database. Energies are from PBE.

As for the mass density: 10.1 g/cm³. The calculation puts the total magnetic moment at 0.000 μB/atom. The calculated volume is 19.2 A^3/atom. The formation energy from the elements comes out at -0.5589 eV/atom.

The structure belongs to space group Pmmn (No. 59, origin choice 2); the cell edges are 4.449, 12.880 and 9.399 Å and the angles 90.00°, 90.00° and 90.00°. The inequivalent atoms are Y at (0.250, 0.050, 0.248), Y at (0.250, 0.750, 0.249), Zn at (0.250, 0.079, 0.905), Zn at (0.250, 0.250, 0.067), Zn at (0.250, 0.250, 0.447), Zn at (0.250, 0.600, 0.523), Au at (0.250, 0.096, 0.631), Au at (0.250, 0.626, 0.967) and Au at (0.250, 0.750, 0.716).



# 2
Here is NaBiN2 after structural relaxation from the Alexandria database. Energies are from PBE.

For the uncorrected formation energy, the calculation gives 613 meV per atom. As for the mass density: 6.0 g/cm³. The calculation puts the total magnetic moment at 0.000 μB/atom. The calculated volume is 18.1 A^3/atom.

The structure belongs to space group I-42d (No. 122); the cell edges are 5.747, 5.747 and 8.780 Å and the angles 90.00°, 90.00° and 90.00°. The inequivalent atoms are Na at (0.000, 0.000, 0.000), Bi at (0.000, 0.000, 0.500) and N at (0.206, 0.250, 0.625).



# 3
Here is CdSb2Rh after structural relaxation from the Alexandria database. Energies are from PBE.

For the uncorrected formation energy, the calculation gives -73 meV per atom. As for the mass density: 8.3 g/cm³. The calculation puts the total magnetic moment at 0.000 μB/atom. The calculated volume is 22.9 A^3/atom.

The structure belongs to space group Amm2 (No. 38); the cell edges are 3.281, 4.305 and 12.978 Å and the angles 90.00°, 90.00° and 90.00°. The inequivalent atoms are Cd at (0.000, 0.000, 0.000), Sb at (0.000, 0.000, 0.290), Sb at (0.500, 0.000, 0.616) and Rh at (0.500, 0.000, 0.821).



# 4
Here is La2NdGa after structural relaxation from the Alexandria database. Energies are from PBE.

The value obtained for the energy above the most stable polymorph in this dataset is 0 meV per atom. As for the mass density: 6.4 g/cm³. The calculation puts the total magnetic moment at 0.000 μB/atom. The calculated volume is 31.7 A^3/atom. The formation energy from the elements comes out at -0.2564 eV/atom.

The structure belongs to space group P4/mmm (No. 123); the cell edges are 3.781, 3.781 and 8.881 Å and the angles 90.00°, 90.00° and 90.00°. The inequivalent atoms are La at (0.000, 0.000, 0.204), Nd at (0.500, 0.500, 0.500) and Ga at (0.500, 0.500, 0.000).